1.
VASP calculation (SCAN) on ZrNi2P at its PBEsol-relaxed geometry.

Structure (CIF):
```
data_ZrNi2P
_chemical_formula_sum 'Zr4 Ni8 P4'
_space_group_name_H-M_alt 'F m m m'
_space_group_IT_number 69
_space_group_name_Hall '-F 2 2'
_cell_length_a 5.108
_cell_length_b 5.212
_cell_length_c 8.549
_cell_angle_alpha 90.00
_cell_angle_beta 90.00
_cell_angle_gamma 90.00
loop_
_atom_site_label
_atom_site_type_symbol
_atom_site_fract_x
_atom_site_fract_y
_atom_site_fract_z
_atom_site_occupancy
Zr1 Zr 0.000 0.000 0.000 1
Ni1 Ni 0.000 0.250 0.250 1
P1 P 0.000 0.000 0.500 1
```

formation energy = -0.289 eV per atom
calculated volume = 57 Å³/f.u.
N(E_F) = 9.11 states/eV per cell



2.
VASP calculation (SCAN) on MnCr2Tc at its PBEsol-relaxed geometry.

Structure (CIF):
```
data_MnCr2Tc
_chemical_formula_sum 'Mn1 Cr2 Tc1'
_space_group_name_H-M_alt 'P 4 m m'
_space_group_IT_number 99
_space_group_name_Hall 'P 4 -2'
_cell_length_a 2.823
_cell_length_b 2.823
_cell_length_c 5.851
_cell_angle_alpha 90.00
_cell_angle_beta 90.00
_cell_angle_gamma 90.00
loop_
_atom_site_label
_atom_site_type_symbol
_atom_site_fract_x
_atom_site_fract_y
_atom_site_fract_z
_atom_site_occupancy
Mn1 Mn 0.000 0.000 0.000 1
Cr1 Cr 0.000 0.000 0.544 1
Cr2 Cr 0.500 0.500 0.783 1
Tc1 Tc 0.500 0.500 0.286 1
```

formation energy = 0.070 eV per atom
calculated volume = 47 Å³/f.u.
N(E_F) = 4.20 states/eV per cell
energy relative to the lowest polymorph listed for this composition = 8.77 kJ/mol of atoms



3.
VASP calculation (SCAN) on TlCd2Au at its PBEsol-relaxed geometry.

Structure (CIF):
```
data_TlCd2Au
_chemical_formula_sum 'Tl2 Cd4 Au2'
_space_group_name_H-M_alt 'C m m m'
_space_group_IT_number 65
_space_group_name_Hall '-C 2 2'
_cell_length_a 5.774
_cell_length_b 7.821
_cell_length_c 3.778
_cell_angle_alpha 90.00
_cell_angle_beta 90.00
_cell_angle_gamma 90.00
loop_
_atom_site_label
_atom_site_type_symbol
_atom_site_fract_x
_atom_site_fract_y
_atom_site_fract_z
_atom_site_occupancy
Tl1 Tl 0.000 0.000 0.000 1
Cd1 Cd 0.250 0.250 0.500 1
Au1 Au 0.000 0.500 0.000 1
```

formation energy = 0.007 eV per atom
calculated volume = 85 Å³/f.u.
N(E_F) = 2.01 states/eV per cell
energy relative to the lowest polymorph listed for this composition = 7.26 kJ/mol of atoms



4.
VASP calculation (SCAN) on ErTaRu2 at its PBEsol-relaxed geometry.

Structure (CIF):
```
data_ErTaRu2
_chemical_formula_sum 'Er4 Ta4 Ru8'
_space_group_name_H-M_alt 'F m -3 m'
_space_group_IT_number 225
_space_group_name_Hall '-F 4 2 3'
_cell_length_a 6.423
_cell_length_b 6.423
_cell_length_c 6.423
_cell_angle_alpha 90.00
_cell_angle_beta 90.00
_cell_angle_gamma 90.00
loop_
_atom_site_label
_atom_site_type_symbol
_atom_site_fract_x
_atom_site_fract_y
_atom_site_fract_z
_atom_site_occupancy
Er1 Er 0.000 0.000 0.000 1
Ta1 Ta 0.000 0.000 0.500 1
Ru1 Ru 0.250 0.250 0.250 1
```

formation energy = -0.552 eV per atom
calculated volume = 66 Å³/f.u.
N(E_F) = 2.08 states/eV per cell



5.
VASP calculation (SCAN) on BeAsBr2F at its PBEsol-relaxed geometry.

Structure (CIF):
```
data_BeAsBr2F
_chemical_formula_sum 'Be1 As1 Br2 F1'
_space_group_name_H-M_alt 'P 4/m m m'
_space_group_IT_number 123
_space_group_name_Hall '-P 4 2'
_cell_length_a 5.388
_cell_length_b 5.388
_cell_length_c 3.809
_cell_angle_alpha 90.00
_cell_angle_beta 90.00
_cell_angle_gamma 90.00
loop_
_atom_site_label
_atom_site_type_symbol
_atom_site_fract_x
_atom_site_fract_y
_atom_site_fract_z
_atom_site_occupancy
Be1 Be 0.000 0.000 0.000 1
As1 As 0.500 0.500 0.000 1
Br1 Br 0.000 0.500 0.500 1
F1 F 0.500 0.500 0.500 1
```

raw formation energy = 0.40 eV/atom
calculated volume = 111 Å³/f.u.
N(E_F) = 1.71 states/eV per cell



6.
VASP calculation (SCAN) on AlAg2Pt at its PBEsol-relaxed geometry.

Structure (CIF):
```
data_AlAg2Pt
_chemical_formula_sum 'Al2 Ag4 Pt2'
_space_group_name_H-M_alt 'C 1 m 1'
_space_group_IT_number 8
_space_group_name_Hall 'C -2y'
_cell_length_a 9.768
_cell_length_b 2.891
_cell_length_c 4.874
_cell_angle_alpha 90.00
_cell_angle_beta 115.08
_cell_angle_gamma 90.00
loop_
_atom_site_label
_atom_site_type_symbol
_atom_site_fract_x
_atom_site_fract_y
_atom_site_fract_z
_atom_site_occupancy
Al1 Al 0.000 0.000 0.000 1
Ag1 Ag 0.006 0.500 0.529 1
Ag2 Ag 0.242 0.500 0.385 1
Pt1 Pt 0.273 0.000 0.918 1
```

formation energy = -0.329 eV per atom
calculated volume = 62 Å³/f.u.
N(E_F) = 2.36 states/eV per cell
energy relative to the lowest polymorph listed for this composition = 4.31 kJ/mol of atoms



7.
VASP calculation (SCAN) on Cs2MgGe3Se8 at its PBEsol-relaxed geometry.

Structure (CIF):
```
data_Cs2MgGe3Se8
_chemical_formula_sum 'Cs8 Mg4 Ge12 Se32'
_space_group_name_H-M_alt 'P 21 21 21'
_space_group_IT_number 19
_space_group_name_Hall 'P 2ac 2ab'
_cell_length_a 7.630
_cell_length_b 12.751
_cell_length_c 17.673
_cell_angle_alpha 90.00
_cell_angle_beta 90.00
_cell_angle_gamma 90.00
loop_
_atom_site_label
_atom_site_type_symbol
_atom_site_fract_x
_atom_site_fract_y
_atom_site_fract_z
_atom_site_occupancy
Cs1 Cs 0.224 0.193 0.348 1
Cs2 Cs 0.241 0.123 0.947 1
Mg1 Mg 0.017 0.002 0.652 1
Ge1 Ge 0.011 0.527 0.347 1
Ge2 Ge 0.236 0.555 0.678 1
Ge3 Ge 0.241 0.559 0.018 1
Se1 Se 0.006 0.903 0.049 1
Se2 Se 0.009 0.129 0.766 1
Se3 Se 0.011 0.911 0.262 1
Se4 Se 0.016 0.123 0.535 1
Se5 Se 0.216 0.373 0.644 1
Se6 Se 0.232 0.376 0.051 1
Se7 Se 0.235 0.135 0.151 1
Se8 Se 0.237 0.371 0.842 1
```

raw formation energy = -0.82 eV/atom
calculated volume = 430 Å³/f.u.
N(E_F) = 0.00 states/eV per cell



8.
VASP calculation (SCAN) on ZnAg2Sb at its PBEsol-relaxed geometry.

Structure (CIF):
```
data_ZnAg2Sb
_chemical_formula_sum 'Zn1 Ag2 Sb1'
_space_group_name_H-M_alt 'P 1 m 1'
_space_group_IT_number 6
_space_group_name_Hall 'P -2y'
_cell_length_a 3.098
_cell_length_b 4.571
_cell_length_c 5.702
_cell_angle_alpha 90.00
_cell_angle_beta 105.42
_cell_angle_gamma 90.00
loop_
_atom_site_label
_atom_site_type_symbol
_atom_site_fract_x
_atom_site_fract_y
_atom_site_fract_z
_atom_site_occupancy
Zn1 Zn 0.000 0.000 0.000 1
Ag1 Ag 0.303 0.000 0.600 1
Ag2 Ag 0.872 0.500 0.743 1
Sb1 Sb 0.144 0.500 0.280 1
```

raw formation energy = 0.09 eV/atom
calculated volume = 78 Å³/f.u.
N(E_F) = 0.98 states/eV per cell
energy relative to the lowest polymorph listed for this composition = 0.00 kJ/mol of atoms



9.
VASP calculation (SCAN) on Rh3Au at its PBEsol-relaxed geometry.

Structure (CIF):
```
data_Rh3Au
_chemical_formula_sum 'Rh6 Au2'
_space_group_name_H-M_alt 'C m m m'
_space_group_IT_number 65
_space_group_name_Hall '-C 2 2'
_cell_length_a 5.457
_cell_length_b 7.652
_cell_length_c 2.738
_cell_angle_alpha 90.00
_cell_angle_beta 90.00
_cell_angle_gamma 90.00
loop_
_atom_site_label
_atom_site_type_symbol
_atom_site_fract_x
_atom_site_fract_y
_atom_site_fract_z
_atom_site_occupancy
Rh1 Rh 0.000 0.000 0.000 1
Rh2 Rh 0.250 0.250 0.500 1
Au1 Au 0.000 0.500 0.000 1
```

formation energy = 0.172 eV per atom
calculated volume = 57 Å³/f.u.
N(E_F) = 12.61 states/eV per cell



10.
VASP calculation (SCAN) on Li2SbPb at its PBEsol-relaxed geometry.

Structure (CIF):
```
data_Li2SbPb
_chemical_formula_sum 'Li8 Sb4 Pb4'
_space_group_name_H-M_alt 'F -4 3 m'
_space_group_IT_number 216
_space_group_name_Hall 'F -4 2 3'
_cell_length_a 7.302
_cell_length_b 7.302
_cell_length_c 7.302
_cell_angle_alpha 90.00
_cell_angle_beta 90.00
_cell_angle_gamma 90.00
loop_
_atom_site_label
_atom_site_type_symbol
_atom_site_fract_x
_atom_site_fract_y
_atom_site_fract_z
_atom_site_occupancy
Li1 Li 0.000 0.000 0.000 1
Li2 Li 0.250 0.250 0.250 1
Sb1 Sb 0.000 0.000 0.500 1
Pb1 Pb 0.250 0.250 0.750 1
```

raw formation energy = -0.23 eV/atom
calculated volume = 97 Å³/f.u.
N(E_F) = 6.70 states/eV per cell
energy relative to the lowest polymorph listed for this composition = 18.99 kJ/mol of atoms



11.
VASP calculation (SCAN) on LaTeIr2 at its PBEsol-relaxed geometry.

Structure (CIF):
```
data_LaTeIr2
_chemical_formula_sum 'La2 Te2 Ir4'
_space_group_name_H-M_alt 'C 1 2/m 1'
_space_group_IT_number 12
_space_group_name_Hall '-C 2y'
_cell_length_a 6.079
_cell_length_b 9.682
_cell_length_c 3.081
_cell_angle_alpha 90.00
_cell_angle_beta 119.51
_cell_angle_gamma 90.00
loop_
_atom_site_label
_atom_site_type_symbol
_atom_site_fract_x
_atom_site_fract_y
_atom_site_fract_z
_atom_site_occupancy
La1 La 0.000 0.000 0.000 1
Te1 Te 0.000 0.500 0.000 1
Ir1 Ir 0.250 0.250 0.500 1
```

raw formation energy = 0.11 eV/atom
calculated volume = 79 Å³/f.u.
N(E_F) = 5.42 states/eV per cell



12.
VASP calculation (SCAN) on AlSbAsI2 at its PBEsol-relaxed geometry.

Structure (CIF):
```
data_AlSbAsI2
_chemical_formula_sum 'Al1 Sb1 As1 I2'
_space_group_name_H-M_alt 'P 4/m m m'
_space_group_IT_number 123
_space_group_name_Hall '-P 4 2'
_cell_length_a 5.227
_cell_length_b 5.227
_cell_length_c 5.497
_cell_angle_alpha 90.00
_cell_angle_beta 90.00
_cell_angle_gamma 90.00
loop_
_atom_site_label
_atom_site_type_symbol
_atom_site_fract_x
_atom_site_fract_y
_atom_site_fract_z
_atom_site_occupancy
Al1 Al 0.000 0.000 0.000 1
Sb1 Sb 0.000 0.000 0.500 1
As1 As 0.500 0.500 0.500 1
I1 I 0.000 0.500 0.000 1
```

raw formation energy = 0.57 eV/atom
calculated volume = 150 Å³/f.u.
N(E_F) = 2.77 states/eV per cell